An optimized crystal structure of In2ReTc, computed with PBE-GGA.

```
4
Lattice="3.1186 0.0000 0.0000 0.0000 4.6364 0.0000 0.0000 0.0000 4.9264" Properties=species:S:1:pos:R:3 pbc="T T T"
In 0.0000 0.0000 0.0000
In 1.5593 0.0000 2.4632
Re 0.0000 2.3182 2.4632
Tc 1.5593 2.3182 0.0000
```

Calculated values
space-group type	Pmmm
ρ	11.98	g/cm3
ΔH_f (0 K)	62.1	kJ per mole of atoms
energy relative to the lowest polymorph listed for this composition	2.085	eV/f.u.
total magnetic moment	0.00	μB per formula unit

An optimized crystal structure of Pr2Tm7Sc2, computed with PBE-GGA.

```
11
Lattice="6.0475 0.0000 0.0000 1.0348 5.9597 0.0000 1.0047 -0.1693 9.1620" Properties=species:S:1:pos:R:3 pbc="T T T"
Pr 1.5155 0.2706 0.8800
Pr 6.5715 5.5199 8.2820
Tm 1.5371 2.3085 7.4209
Tm 3.5535 5.0443 6.5899
Tm 3.5228 3.9924 3.3785
Tm 3.5411 2.9799 0.0000
Tm 4.5642 1.7981 5.7835
Tm 4.5335 0.7462 2.5721
Tm 6.5499 3.4820 1.7411
Sc 1.5004 1.2868 4.1831
Sc 6.5866 4.5036 4.9789
```

Calculated values
space-group type	P-1
ρ	7.82	g/cm3
ΔH_f (0 K)	4.3	kJ per mole of atoms
energy relative to the lowest polymorph listed for this composition	0.000	eV/f.u.
total magnetic moment	0.00	μB per formula unit

An optimized crystal structure of BaSc2Mn, computed with PBE-GGA.

```
4
Lattice="3.7412 0.0000 0.0000 0.0000 3.7412 0.0000 0.0000 0.0000 8.1110" Properties=species:S:1:pos:R:3 pbc="T T T"
Ba 0.0000 0.0000 0.0000
Sc 0.0000 0.0000 3.4788
Sc 1.8706 1.8706 5.2338
Mn 1.8706 1.8706 2.4282
```

Calculated values
space-group type	P4mm
ρ	4.13	g/cm3
ΔH_f (0 K)	30.3	kJ per mole of atoms
energy relative to the lowest polymorph listed for this composition	0.304	eV/f.u.
total magnetic moment	2.85	μB per formula unit